(1)
# TbSiTe (PBE, relaxed)
data_TbSiTe
_symmetry_space_group_name_H-M 'F -4 3 m'
_symmetry_Int_Tables_number 216
_symmetry_space_group_name_Hall 'F -4 2 3'
_cell_length_a 6.896
_cell_length_b 6.896
_cell_length_c 6.896
_cell_angle_alpha 90.00
_cell_angle_beta 90.00
_cell_angle_gamma 90.00
loop_
_atom_site_label
_atom_site_type_symbol
_atom_site_fract_x
_atom_site_fract_y
_atom_site_fract_z
Tb1 Tb 0.000 0.000 0.000
Si1 Si 0.250 0.250 0.250
Te1 Te 0.000 0.000 0.500
# Calculated volume in Å³/cell: 328
# Raw total energy in eV/atom: -4.542

=====

(2)
# TaFeAgGe (PBE, relaxed)
data_TaFeAgGe
_symmetry_space_group_name_H-M 'F -4 3 m'
_symmetry_Int_Tables_number 216
_symmetry_space_group_name_Hall 'F -4 2 3'
_cell_length_a 6.305
_cell_length_b 6.305
_cell_length_c 6.305
_cell_angle_alpha 90.00
_cell_angle_beta 90.00
_cell_angle_gamma 90.00
loop_
_atom_site_label
_atom_site_type_symbol
_atom_site_fract_x
_atom_site_fract_y
_atom_site_fract_z
Ta1 Ta 0.000 0.000 0.000
Fe1 Fe 0.000 0.000 0.500
Ag1 Ag 0.250 0.250 0.750
Ge1 Ge 0.250 0.250 0.250
# Calculated volume in Å³/cell: 251
# Energy relative to the lowest polymorph listed for this composition in eV/atom: 0.003
# Raw total energy in eV/atom: -6.571

=====

(3)
# KHfAgTeS2 (PBE, relaxed)
data_KHfAgTeS2
_symmetry_space_group_name_H-M 'C m c m'
_symmetry_Int_Tables_number 63
_symmetry_space_group_name_Hall '-C 2c 2'
_cell_length_a 3.855
_cell_length_b 15.576
_cell_length_c 10.736
_cell_angle_alpha 90.00
_cell_angle_beta 90.00
_cell_angle_gamma 90.00
loop_
_atom_site_label
_atom_site_type_symbol
_atom_site_fract_x
_atom_site_fract_y
_atom_site_fract_z
K1 K 0.000 0.223 0.250
Hf1 Hf 0.000 0.000 0.000
Ag1 Ag 0.000 0.464 0.750
Te1 Te 0.000 0.090 0.750
S1 S 0.000 0.392 0.545
# Calculated volume in Å³/cell: 645
# Energy relative to the lowest polymorph listed for this composition in eV/atom: 0.110
# Raw total energy in eV/atom: -5.190

=====

(4)
# Hf4SiAsN2 (PBE, relaxed)
data_Hf4SiAsN2
_symmetry_space_group_name_H-M 'P -6 m 2'
_symmetry_Int_Tables_number 187
_symmetry_space_group_name_Hall 'P -6 2'
_cell_length_a 3.3109
_cell_length_b 3.3109
_cell_length_c 12.7279
_cell_angle_alpha 90.00
_cell_angle_beta 90.00
_cell_angle_gamma 120.00
loop_
_atom_site_label
_atom_site_type_symbol
_atom_site_fract_x
_atom_site_fract_y
_atom_site_fract_z
Hf1 Hf 0.0000 0.0000 0.1499
Hf2 Hf 0.3333 0.6667 0.3422
Si1 Si 0.0000 0.0000 0.5000
As1 As 0.3333 0.6667 0.0000
N1 N 0.6667 0.3333 0.2463
# Calculated volume in Å³/cell: 121
# Raw total energy in eV/atom: -9.511

=====

(5)
# Hf2As3W4C3 (PBE, relaxed)
data_Hf2As3W4C3
_symmetry_space_group_name_H-M 'C 1 2/c 1'
_symmetry_Int_Tables_number 15
_symmetry_space_group_name_Hall '-C 2yc'
_cell_length_a 9.911
_cell_length_b 5.745
_cell_length_c 12.456
_cell_angle_alpha 90.00
_cell_angle_beta 105.33
_cell_angle_gamma 90.00
loop_
_atom_site_label
_atom_site_type_symbol
_atom_site_fract_x
_atom_site_fract_y
_atom_site_fract_z
Hf1 Hf 0.049 0.083 0.395
As1 As 0.000 0.442 0.250
As2 As 0.179 0.097 0.749
W1 W 0.113 0.419 0.586
W2 W 0.220 0.416 0.915
C1 C 0.082 0.247 0.000
C2 C 0.250 0.250 0.500
# Calculated volume in Å³/cell: 684
# Raw total energy in eV/atom: -9.736

=====

(6)
# LiThMo (PBE, relaxed)
data_LiThMo
_symmetry_space_group_name_H-M 'F -4 3 m'
_symmetry_Int_Tables_number 216
_symmetry_space_group_name_Hall 'F -4 2 3'
_cell_length_a 6.463
_cell_length_b 6.463
_cell_length_c 6.463
_cell_angle_alpha 90.00
_cell_angle_beta 90.00
_cell_angle_gamma 90.00
loop_
_atom_site_label
_atom_site_type_symbol
_atom_site_fract_x
_atom_site_fract_y
_atom_site_fract_z
Li1 Li 0.000 0.000 0.000
Th1 Th 0.250 0.250 0.250
Mo1 Mo 0.000 0.000 0.500
# Calculated volume in Å³/cell: 270
# Energy relative to the lowest polymorph listed for this composition in eV/atom: 0.314
# Raw total energy in eV/atom: -5.546